Crystalline KNiSeBr2 at its relaxed geometry, computed with GGA-PBE.

ΔE_f (raw)	0.73	eV/atom
SG	P4/mmm
total DFT energy (no corrections)	-10.08	eV per cell
polymorph energy (0 for the lowest one)	1.315	eV/atom
V	211.5	Å³/cell

Cell lengths 5.977, 5.977, 5.921 Å; angles 90.00, 90.00, 90.00 degrees
Each line ends with the local moment (μB).
Sites, in units of the cell vectors:
Ni1 0.500 0.500 0.500  1.00
K1 0.000 0.000 0.000  0.01
Se1 0.000 0.000 0.500  0.93
Br1 0.000 0.500 0.000  0.17
Br2 0.500 0.000 0.000  0.17

=====

Crystalline KSiNiBr2 at its relaxed geometry, computed with GGA-PBE.

ΔE_f (raw)	-0.32	eV/atom
SG	P4/mmm
total DFT energy (no corrections)	-17.25	eV per cell
V	140.0	Å³/cell

Cell lengths 5.621, 4.432, 5.621 Å; angles 90.00, 90.00, 90.00 degrees
Each line ends with the local moment (μB).
Sites, in units of the cell vectors:
Ni1 0.000 0.500 0.000  0.60
K1 0.500 0.500 0.500  0.00
Si1 0.000 0.000 0.000  0.02
Br1 0.000 0.000 0.500  0.04
Br2 0.500 0.000 0.000  0.03

=====

Crystalline K3TlNi2Br9 at its relaxed geometry, computed with GGA-PBE.

ΔE_f (raw)	-0.89	eV/atom
SG	P-3m1
total DFT energy (no corrections)	-45.59	eV per cell
V	461.6	Å³/cell

Cell lengths 7.404, 7.404, 9.723 Å; angles 90.00, 90.00, 120.00 degrees
Each line ends with the local moment (μB).
Sites, in units of the cell vectors:
K1 0.333 0.667 0.718  0.00
K2 0.000 0.000 0.000  0.00
K3 0.667 0.333 0.282  0.00
Tl1 0.000 0.000 0.500  0.00
Ni1 0.333 0.667 0.153  0.39
Ni2 0.667 0.333 0.847  0.39
Br1 0.825 0.175 0.704  0.02
Br2 0.825 0.649 0.704  0.02
Br3 0.351 0.175 0.704  0.02
Br4 0.649 0.825 0.296  0.02
Br5 0.175 0.351 0.296  0.02
Br6 0.175 0.825 0.296  0.02
Br7 0.500 0.000 0.000  0.00
Br8 0.000 0.500 0.000  0.00
Br9 0.500 0.500 0.000  0.00

=====

Crystalline KTlNiBr4 at its relaxed geometry, computed with GGA-PBE.

ΔE_f (raw)	-0.85	eV/atom
SG	P2_1/m
total DFT energy (no corrections)	-43.74	eV per cell
V	478.4	Å³/cell

Cell lengths 7.175, 7.430, 9.542 Å; angles 90.00, 109.86, 90.00 degrees
Each line ends with the local moment (μB).
Sites, in units of the cell vectors:
K1 0.792 0.750 0.450  0.00
K2 0.208 0.250 0.550  0.00
Tl1 0.733 0.750 0.932  0.01
Tl2 0.267 0.250 0.068  0.01
Ni1 0.240 0.750 0.304  1.35
Ni2 0.760 0.250 0.696  1.35
Br1 0.989 0.496 0.762  0.12
Br2 0.011 0.996 0.238  0.12
Br3 0.011 0.504 0.238  0.12
Br4 0.989 0.004 0.762  0.12
Br5 0.405 0.750 0.126  0.09
Br6 0.595 0.250 0.874  0.09
Br7 0.368 0.750 0.569  0.08
Br8 0.632 0.250 0.431  0.08

=====

Crystalline KYNi2Br at its relaxed geometry, computed with GGA-PBE.

ΔE_f (raw)	0.16	eV/atom
SG	P4/mmm
total DFT energy (no corrections)	-20.00	eV per cell
V	145.9	Å³/cell

Cell lengths 5.015, 5.799, 5.015 Å; angles 90.00, 90.00, 90.00 degrees
Sites, in units of the cell vectors:
Y1 0.000 0.000 0.000
Ni1 0.000 0.000 0.500
Ni2 0.500 0.000 0.000
K1 0.500 0.500 0.500
Br1 0.000 0.500 0.000

=====

Crystalline K3Np2Br8 at its relaxed geometry, computed with GGA-PBE.

ΔE_f (raw)	-1.41	eV/atom
SG	C2/m
total DFT energy (no corrections)	-60.83	eV per cell
V	515.1	Å³/cell

Cell lengths 7.739, 8.517, 9.344 Å; angles 117.11, 107.74, 90.00 degrees
Each line ends with the local moment (μB).
Sites, in units of the cell vectors:
K1 0.500 0.000 0.000  0.00
K2 0.000 0.270 0.000  0.00
K3 0.000 0.730 0.000  0.00
Np1 0.663 0.742 0.484  4.38
Np2 0.337 0.258 0.516  4.38
Br1 0.166 0.386 0.773  -0.02
Br2 0.834 0.614 0.227  -0.02
Br3 0.036 0.867 0.735  -0.02
Br4 0.964 0.133 0.265  -0.02
Br5 0.418 0.898 0.275  -0.02
Br6 0.418 0.377 0.275  -0.02
Br7 0.582 0.623 0.725  -0.02
Br8 0.582 0.102 0.725  -0.02

=====

Crystalline K2Np2Br7 at its relaxed geometry, computed with GGA-PBE.

ΔE_f (raw)	-1.38	eV/atom
SG	C2/m
total DFT energy (no corrections)	-55.01	eV per cell
V	409.0	Å³/cell

Cell lengths 7.754, 7.298, 7.298 Å; angles 82.02, 90.37, 90.37 degrees
Each line ends with the local moment (μB).
Sites, in units of the cell vectors:
K1 0.500 0.757 0.243  0.00
K2 0.500 0.243 0.757  0.00
Np1 0.000 0.721 0.721  4.38
Np2 0.000 0.279 0.279  4.38
Br1 0.241 0.999 0.498  -0.02
Br2 0.759 0.502 0.001  -0.02
Br3 0.759 0.001 0.502  -0.02
Br4 0.241 0.498 0.999  -0.02
Br5 0.000 0.000 0.000  -0.02
Br6 0.770 0.500 0.500  -0.02
Br7 0.230 0.500 0.500  -0.02

=====

Crystalline K2NpBr7 at its relaxed geometry, computed with GGA-PBE.

ΔE_f (raw)	-1.28	eV/atom
SG	C2/c
total DFT energy (no corrections)	-79.23	eV per cell
V	766.6	Å³/cell

Cell lengths 8.846, 10.078, 10.609 Å; angles 73.55, 65.36, 63.97 degrees
Each line ends with the local moment (μB).
Sites, in units of the cell vectors:
K1 0.639 0.911 0.699  0.00
K2 0.751 0.411 0.199  0.00
K3 0.249 0.589 0.801  0.00
K4 0.361 0.089 0.301  0.00
Np1 0.882 0.250 0.750  2.67
Np2 0.118 0.750 0.250  2.67
Br1 0.657 0.544 0.787  -0.08
Br2 0.012 0.044 0.287  -0.08
Br3 0.248 0.855 0.976  -0.10
Br4 0.269 0.150 0.616  -0.08
Br5 0.565 0.250 0.750  -0.07
Br6 0.921 0.355 0.476  -0.10
Br7 0.035 0.350 0.884  -0.08
Br8 0.965 0.650 0.116  -0.08
Br9 0.079 0.645 0.524  -0.10
Br10 0.435 0.750 0.250  -0.07
Br11 0.731 0.850 0.384  -0.08
Br12 0.752 0.145 0.024  -0.10
Br13 0.988 0.956 0.713  -0.08
Br14 0.343 0.456 0.213  -0.08

=====

Crystalline KNpBr4 at its relaxed geometry, computed with GGA-PBE.

ΔE_f (raw)	-1.33	eV/atom
SG	I-4
total DFT energy (no corrections)	-28.71	eV per cell
V	286.9	Å³/cell

Cell lengths 8.655, 8.655, 7.220 Å; angles 126.83, 126.83, 90.00 degrees
Each line ends with the local moment (μB).
Sites, in units of the cell vectors:
K1 0.750 0.250 0.500  0.00
Np1 0.500 0.500 0.000  3.96
Br1 0.500 0.875 0.395  -0.04
Br2 0.895 0.520 0.395  -0.04
Br3 0.125 0.105 0.605  -0.04
Br4 0.480 0.500 0.605  -0.04

=====

Crystalline K5Np2Br12 at its relaxed geometry, computed with GGA-PBE.

ΔE_f (raw)	-1.49	eV/atom
SG	C2/m
total DFT energy (no corrections)	-79.66	eV per cell
V	780.4	Å³/cell

Cell lengths 8.709, 10.200, 10.524 Å; angles 110.33, 90.00, 115.27 degrees
Each line ends with the local moment (μB).
Sites, in units of the cell vectors:
K1 0.276 0.552 0.589  0.00
K2 0.326 0.651 0.213  0.00
K3 0.000 0.000 0.500  0.00
K4 0.674 0.349 0.787  0.00
K5 0.724 0.448 0.411  0.00
Np1 0.749 0.000 0.000  3.62
Np2 0.251 0.000 0.000  3.62
Br1 0.023 0.046 0.190  -0.04
Br2 0.101 0.683 0.941  -0.05
Br3 0.583 0.683 0.941  -0.05
Br4 0.110 0.717 0.448  -0.01
Br5 0.608 0.717 0.448  -0.01
Br6 0.482 0.964 0.807  -0.04
Br7 0.518 0.036 0.193  -0.04
Br8 0.890 0.283 0.552  -0.01
Br9 0.392 0.283 0.552  -0.01
Br10 0.899 0.317 0.059  -0.05
Br11 0.417 0.317 0.059  -0.05
Br12 0.977 0.954 0.810  -0.04

=====

> Which formula does entry 6 have?

K3Np2Br8

=====

> total DFT energy (no corrections) of number 8 (K2NpBr7)?

-79.23 eV per cell